(1)
Entry from the Alexandria database: a relaxed Hg2Se2I crystal (GGA-PBE).

a = 7.581 Å, b = 8.008 Å, c = 8.530 Å
α = 67.80°, β = 47.86°, γ = 59.93°
Fractional positions:
Hg 0.544 0.884 0.804
Hg 0.904 0.093 0.286
Hg 0.456 0.116 0.196
Hg 0.096 0.907 0.714
Se 0.533 0.339 0.278
Se 0.695 0.143 0.747
Se 0.305 0.857 0.253
Se 0.467 0.661 0.722
I 0.944 0.652 0.225
I 0.056 0.348 0.775

Results
For the excess energy over the best structure of this formula in the dataset, the calculation gives 0 meV/atom. For the formation energy from raw total energies, the calculation gives -0.48 eV per formula unit. As for the space group: P-1. The calculation puts the total energy at -19.2 eV for the cell shown.


(2)
Entry from the Alexandria database: a relaxed B7Pt12Rh crystal (GGA-PBE).

a = 6.997 Å, b = 6.996 Å, c = 6.996 Å
α = 108.63°, β = 108.64°, γ = 108.64°
Fractional positions:
B 0.950 0.600 0.831
B 0.396 0.175 0.065
B 0.175 0.065 0.396
B 0.451 0.451 0.451
B 0.831 0.950 0.600
B 0.600 0.831 0.950
B 0.065 0.396 0.175
Pt 0.864 0.269 0.811
Pt 0.714 0.186 0.123
Pt 0.496 0.148 0.404
Pt 0.813 0.610 0.519
Pt 0.186 0.123 0.714
Pt 0.610 0.519 0.813
Pt 0.404 0.496 0.148
Pt 0.811 0.864 0.269
Pt 0.148 0.404 0.496
Pt 0.519 0.813 0.610
Pt 0.269 0.811 0.864
Pt 0.123 0.714 0.186
Rh 0.077 0.077 0.077

Results
For the formation energy, the calculation gives -0.127 eV/atom. As for the space group: R3. The calculation puts the total energy at -129.1 eV for the cell shown.


(3)
Entry from the Alexandria database: a relaxed YSbIr2 crystal (GGA-PBE).

a = 5.407 Å, b = 5.407 Å, c = 5.407 Å
α = 135.98°, β = 135.98°, γ = 64.01°
Fractional positions:
Ir 0.000 0.000 0.000
Ir 0.250 0.750 0.500
Sb 0.500 0.500 0.000
Y 0.750 0.250 0.500

Results
For the formation energy from raw total energies, the calculation gives -1.43 eV per formula unit. As for the space group: I-4m2. The calculation puts the total energy at -29.7 eV for the cell shown.


(4)
Entry from the Alexandria database: a relaxed CaNpGe2 crystal (GGA-PBE).

a = 3.259 Å, b = 3.259 Å, c = 8.401 Å
α = 90.00°, β = 90.00°, γ = 90.00°
Each line ends with the local moment (μB).
Fractional positions:
Np 0.500 0.500 0.000  4.04
Ge 0.000 0.000 0.755  -0.03
Ge 0.000 0.000 0.245  -0.03
Ca 0.500 0.500 0.500  -0.01

Results
For the formation energy, the calculation gives -0.307 eV/atom. As for the space group: P4/mmm. The calculation puts the total energy at -25.4 eV for the cell shown.